[1]
Density functional theory data (GGA-PBEsol) for crystalline TaInPO2 at its relaxed geometry.

For the volume, the calculation gives 79.2 Å³/f.u. As for the size of the total moment: 0.63 μB per formula unit. The value obtained for the total energy is -6.168 eV/atom.

abc: 3.913 3.913 5.169
angles: 90.00 90.00 90.00
Space group P4/mmm (No. 123)
Asymmetric unit:
Ta: 0.000 0.000 0.000
In: 0.500 0.500 0.500
P: 0.500 0.500 0.000
O: 0.000 0.500 0.500



[2]
Density functional theory data (GGA-PBEsol) for crystalline TiInPO2 at its relaxed geometry.

For the volume, the calculation gives 74.3 Å³/f.u. As for the size of the total moment: 0.00 μB per formula unit. The value obtained for the total energy is -6.986 eV/atom.

abc: 3.783 3.783 5.189
angles: 90.00 90.00 90.00
Space group P4/mmm (No. 123)
Asymmetric unit:
Ti: 0.000 0.000 0.000
In: 0.500 0.500 0.500
P: 0.000 0.000 0.500
O: 0.000 0.500 0.000



[3]
Density functional theory data (GGA-PBEsol) for crystalline ZnInPO2 at its relaxed geometry.

For the volume, the calculation gives 87.0 Å³/f.u. As for the size of the total moment: 1.50 μB per formula unit. The value obtained for the total energy is -4.026 eV/atom.

abc: 3.964 3.964 5.533
angles: 90.00 90.00 90.00
Space group P4/mmm (No. 123)
Asymmetric unit:
Zn: 0.000 0.000 0.000
In: 0.500 0.500 0.500
P: 0.500 0.500 0.000
O: 0.000 0.500 0.500



[4]
Density functional theory data (GGA-PBEsol) for crystalline In3PbO at its relaxed geometry.

For the volume, the calculation gives 181.1 Å³/f.u. As for the size of the total moment: 0.24 μB per formula unit. The value obtained for the total energy is -2.674 eV/atom.

abc: 5.658 5.658 5.658
angles: 90.00 90.00 90.00
Space group Pm-3m (No. 221)
Asymmetric unit:
In: 0.000 0.000 0.500
Pb: 0.000 0.000 0.000
O: 0.500 0.500 0.500



[5]
Density functional theory data (GGA-PBEsol) for crystalline InRePbO2 at its relaxed geometry.

For the volume, the calculation gives 89.7 Å³/f.u. As for the size of the total moment: 0.00 μB per formula unit. The value obtained for the total energy is -6.609 eV/atom.

abc: 3.918 3.918 5.846
angles: 90.00 90.00 90.00
Space group P4/mmm (No. 123)
Asymmetric unit:
In: 0.000 0.000 0.000
Re: 0.500 0.500 0.500
Pb: 0.500 0.500 0.000
O: 0.000 0.500 0.500



[6]
Density functional theory data (GGA-PBEsol) for crystalline In2Si2Pb2O9 at its relaxed geometry.

For the volume, the calculation gives 214.7 Å³/f.u. As for the size of the total moment: 0.00 μB per formula unit. The value obtained for the total energy is -6.844 eV/atom.

abc: 10.552 11.443 7.112
angles: 90.00 90.00 90.00
Space group Pna2_1 (No. 33)
Asymmetric unit:
In: 0.001 0.249 0.000
In: 0.249 0.912 0.517
Si: 0.244 0.672 0.206
Si: 0.249 0.660 0.780
Pb: 0.046 0.935 0.062
Pb: 0.048 0.450 0.567
O: 0.067 0.904 0.630
O: 0.069 0.411 0.898
O: 0.107 0.157 0.768
O: 0.109 0.633 0.686
O: 0.168 0.772 0.325
O: 0.170 0.544 0.208
O: 0.173 0.257 0.159
O: 0.174 0.037 0.306
O: 0.233 0.721 0.988



[7]
Density functional theory data (GGA-PBEsol) for crystalline InPd2RhO at its relaxed geometry.

For the volume, the calculation gives 72.5 Å³/f.u. As for the size of the total moment: 0.00 μB per formula unit. The value obtained for the total energy is -5.755 eV/atom.

abc: 4.237 4.237 4.041
angles: 90.00 90.00 90.00
Space group P4/mmm (No. 123)
Asymmetric unit:
In: 0.000 0.000 0.000
Pd: 0.000 0.500 0.500
Rh: 0.500 0.500 0.000
O: 0.500 0.500 0.500



[8]
Density functional theory data (GGA-PBEsol) for crystalline InPdS2O at its relaxed geometry.

For the volume, the calculation gives 79.3 Å³/f.u. As for the size of the total moment: 0.00 μB per formula unit. The value obtained for the total energy is -4.269 eV/atom.

abc: 4.149 4.149 4.609
angles: 90.00 90.00 90.00
Space group P4/mmm (No. 123)
Asymmetric unit:
In: 0.000 0.000 0.000
Pd: 0.500 0.500 0.000
S: 0.000 0.500 0.500
O: 0.000 0.000 0.500



[9]
Density functional theory data (GGA-PBEsol) for crystalline InPdW2O at its relaxed geometry.

For the volume, the calculation gives 109.7 Å³/f.u. As for the size of the total moment: 1.99 μB per formula unit. The value obtained for the total energy is -6.017 eV/atom.

abc: 4.728 4.728 4.907
angles: 90.00 90.00 90.00
Space group P4/mmm (No. 123)
Asymmetric unit:
In: 0.000 0.000 0.000
Pd: 0.000 0.000 0.500
W: 0.000 0.500 0.500
O: 0.500 0.500 0.000



[10]
Density functional theory data (GGA-PBEsol) for crystalline Pr3InO at its relaxed geometry.

For the volume, the calculation gives 121.6 Å³/f.u. As for the size of the total moment: 0.00 μB per formula unit. The value obtained for the total energy is -6.207 eV/atom.

abc: 4.954 4.954 4.954
angles: 90.00 90.00 90.00
Space group Pm-3m (No. 221)
Asymmetric unit:
Pr: 0.000 0.000 0.500
In: 0.500 0.500 0.500
O: 0.000 0.000 0.000



[11]
Density functional theory data (GGA-PBEsol) for crystalline In3PtO at its relaxed geometry.

For the volume, the calculation gives 129.0 Å³/f.u. As for the size of the total moment: 0.83 μB per formula unit. The value obtained for the total energy is -4.156 eV/atom.

abc: 5.052 5.052 5.052
angles: 90.00 90.00 90.00
Space group Pm-3m (No. 221)
Asymmetric unit:
In: 0.000 0.000 0.500
Pt: 0.000 0.000 0.000
O: 0.500 0.500 0.500



[12]
Density functional theory data (GGA-PBEsol) for crystalline Rb3InO3 at its relaxed geometry.

For the volume, the calculation gives 152.7 Å³/f.u. As for the size of the total moment: 0.14 μB per formula unit. As for the polymorph energy (0 for the lowest one): 0.00 eV per formula unit. The value obtained for the total energy is -4.476 eV/atom.

abc: 7.592 11.818 6.933
angles: 90.00 100.83 90.00
Space group C2/m (No. 12)
Asymmetric unit:
Rb: 0.000 0.195 0.000
Rb: 0.000 0.257 0.500
Rb: 0.132 0.500 0.853
In: 0.180 0.000 0.647
O: 0.097 0.000 0.335
O: 0.194 0.358 0.230



[13]
Density functional theory data (GGA-PBEsol) for crystalline Rb3InO3 at its relaxed geometry.

For the volume, the calculation gives 155.1 Å³/f.u. As for the size of the total moment: 0.14 μB per formula unit. As for the polymorph energy (0 for the lowest one): 0.06 eV per formula unit. The value obtained for the total energy is -4.467 eV/atom.

abc: 7.005 6.876 14.604
angles: 90.00 118.10 90.00
Space group P2_1/c (No. 14)
Asymmetric unit:
Rb: 0.112 0.083 0.315
Rb: 0.238 0.536 0.618
Rb: 0.288 0.042 0.603
In: 0.332 0.632 0.415
O: 0.083 0.738 0.929
O: 0.333 0.707 0.280
O: 0.349 0.165 0.961



[14]
Density functional theory data (GGA-PBEsol) for crystalline RbIn2O at its relaxed geometry.

For the volume, the calculation gives 99.5 Å³/f.u. As for the size of the total moment: 0.00 μB per formula unit. The value obtained for the total energy is -2.765 eV/atom.

abc: 7.355 7.355 7.355
angles: 90.00 90.00 90.00
Space group Fm-3m (No. 225)
Asymmetric unit:
Rb: 0.000 0.000 0.000
In: 0.250 0.250 0.250
O: 0.000 0.000 0.500



[15]
Density functional theory data (GGA-PBEsol) for crystalline RbInSiO2 at its relaxed geometry.

For the volume, the calculation gives 81.9 Å³/f.u. As for the size of the total moment: 0.00 μB per formula unit. The value obtained for the total energy is -4.473 eV/atom.

abc: 4.094 4.094 4.887
angles: 90.00 90.00 90.00
Space group P4/mmm (No. 123)
Asymmetric unit:
Rb: 0.000 0.000 0.000
In: 0.500 0.500 0.000
Si: 0.500 0.500 0.500
O: 0.000 0.500 0.500



[16]
Density functional theory data (GGA-PBEsol) for crystalline RbInTe3O8 at its relaxed geometry.

For the volume, the calculation gives 223.9 Å³/f.u. As for the size of the total moment: 0.00 μB per formula unit. The value obtained for the total energy is -5.644 eV/atom.

abc: 5.782 7.536 11.077
angles: 78.98 89.62 71.21
Space group P-1 (No. 2)
Asymmetric unit:
Rb: 0.138 0.125 0.332
In: 0.000 0.500 0.000
In: 0.500 0.500 0.500
Te: 0.059 0.334 0.648
Te: 0.228 0.005 0.918
Te: 0.481 0.537 0.159
O: 0.112 0.966 0.106
O: 0.187 0.739 0.420
O: 0.198 0.264 0.917
O: 0.241 0.072 0.728
O: 0.249 0.334 0.508
O: 0.258 0.633 0.913
O: 0.262 0.396 0.161
O: 0.376 0.559 0.678



[17]
Density functional theory data (GGA-PBEsol) for crystalline InReO3 at its relaxed geometry.

For the volume, the calculation gives 67.4 Å³/f.u. As for the size of the total moment: 4.12 μB per formula unit. The value obtained for the total energy is -5.959 eV/atom.

abc: 4.070 4.070 4.070
angles: 90.00 90.00 90.00
Space group Pm-3m (No. 221)
Asymmetric unit:
In: 0.000 0.000 0.000
Re: 0.500 0.500 0.500
O: 0.000 0.000 0.500



[18]
Density functional theory data (GGA-PBEsol) for crystalline In2ReO2 at its relaxed geometry.

For the volume, the calculation gives 75.6 Å³/f.u. As for the size of the total moment: 2.80 μB per formula unit. The value obtained for the total energy is -5.875 eV/atom.

abc: 3.593 3.593 11.718
angles: 90.00 90.00 90.00
Space group I4/mmm (No. 139)
Asymmetric unit:
In: 0.000 0.000 0.148
Re: 0.000 0.000 0.500
O: 0.000 0.500 0.250



[19]
Density functional theory data (GGA-PBEsol) for crystalline InRhO3 at its relaxed geometry.

For the volume, the calculation gives 54.9 Å³/f.u. As for the size of the total moment: 0.00 μB per formula unit. The value obtained for the total energy is -6.497 eV/atom.

abc: 5.416 7.715 5.252
angles: 90.00 90.00 90.00
Space group Pnma (No. 62)
Asymmetric unit:
In: 0.062 0.250 0.025
Rh: 0.000 0.000 0.500
O: 0.067 0.750 0.365
O: 0.203 0.577 0.800



[20]
Density functional theory data (GGA-PBEsol) for crystalline InRh2O at its relaxed geometry.

For the volume, the calculation gives 56.1 Å³/f.u. As for the size of the total moment: 2.02 μB per formula unit. The value obtained for the total energy is -5.703 eV/atom.

abc: 6.077 6.077 6.077
angles: 90.00 90.00 90.00
Space group Fm-3m (No. 225)
Asymmetric unit:
In: 0.000 0.000 0.000
Rh: 0.250 0.250 0.250
O: 0.000 0.000 0.500